[1]
A plane-wave DFT calculation with GGA-PBE was carried out for an optimized crystal structure of CoMo2P.

a = 3.8056 Å, b = 2.9675 Å, c = 4.9526 Å
α = 72.54°, β = 90.00°, γ = 90.00°
Site moments in Bohr magnetons follow the coordinates.
Fractional coordinates of all 4 atoms:
Mo1 0.5000 0.2934 0.2904  0.00
P1 0.0000 0.6877 0.5001  0.00
Mo2 0.0000 0.9545 0.9642  0.00
Co1 0.5000 0.5644 0.7453  -0.08

Properties
- V: 53 Å³ per cell
- N(E_F): 1.039 states/eV per atom
- Mass density: 8.8 Mg/m³
- Energy of formation: -209 meV per atom



[2]
A plane-wave DFT calculation with GGA-PBE was carried out for an optimized crystal structure of CoMoP.

a = 3.6276 Å, b = 3.6276 Å, c = 3.3935 Å
α = 90.00°, β = 90.00°, γ = 120.00°
Fractional coordinates of all 3 atoms:
Mo1 0.6667 0.3333 0.3333
P1 0.3333 0.6667 0.8334
Co1 0.0000 0.0000 0.8333

Properties
- V: 39 Å³ per cell
- N(E_F): 0.275 states/eV per atom
- Mass density: 8.0 Mg/m³
- Energy of formation: -344 meV per atom



[3]
A plane-wave DFT calculation with GGA-PBE was carried out for an optimized crystal structure of CoMoP.

a = 2.7590 Å, b = 2.7590 Å, c = 5.8732 Å
α = 90.00°, β = 90.00°, γ = 120.00°
Site moments in Bohr magnetons follow the coordinates.
Fractional coordinates of all 3 atoms:
Co1 0.0000 0.0000 0.9705  0.51
Mo1 0.6667 0.3333 0.3380  -0.02
P1 0.3333 0.6667 0.6915  0.00

Properties
- V: 39 Å³ per cell
- N(E_F): 0.910 states/eV per atom
- Mass density: 8.0 Mg/m³
- Energy of formation: 16 meV per atom



[4]
A plane-wave DFT calculation with GGA-PBE was carried out for an optimized crystal structure of CoMo2P.

a = 3.7860 Å, b = 2.7644 Å, c = 5.4259 Å
α = 72.94°, β = 90.00°, γ = 90.00°
Site moments in Bohr magnetons follow the coordinates.
Fractional coordinates of all 4 atoms:
Mo1 0.0000 0.4422 0.4969  -0.02
Co1 0.5000 0.7500 0.7500  0.47
P1 0.5000 0.2500 0.2500  0.00
Mo2 0.0000 0.0578 0.0031  -0.02

Properties
- V: 54 Å³ per cell
- N(E_F): 0.736 states/eV per atom
- Mass density: 8.6 Mg/m³
- Energy of formation: -24 meV per atom



[5]
A plane-wave DFT calculation with GGA-PBE was carried out for an optimized crystal structure of CoMoP2.

a = 7.3283 Å, b = 7.3283 Å, c = 7.3283 Å
α = 23.40°, β = 23.40°, γ = 23.40°
Fractional coordinates of all 4 atoms:
Co1 0.5124 0.5124 0.5124
Mo1 0.7457 0.7457 0.7457
P1 0.9998 0.9998 0.9998
P2 0.2421 0.2421 0.2421

Properties
- V: 55 Å³ per cell
- N(E_F): 0.754 states/eV per atom
- Mass density: 6.6 Mg/m³
- Energy of formation: -25 meV per atom



[6]
A plane-wave DFT calculation with GGA-PBE was carried out for an optimized crystal structure of CoMo4P.

a = 5.1431 Å, b = 5.1431 Å, c = 5.1431 Å
α = 60.00°, β = 60.00°, γ = 60.00°
Site moments in Bohr magnetons follow the coordinates.
Fractional coordinates of all 6 atoms:
Mo1 0.3747 0.3747 0.3747  0.00
P1 0.7500 0.7500 0.7500  0.03
Mo2 0.3747 0.8760 0.3747  0.00
Mo3 0.3747 0.3747 0.8760  0.00
Mo4 0.8760 0.3747 0.3747  0.00
Co1 0.0000 0.0000 0.0000  1.43

Properties
- V: 96 Å³ per cell
- N(E_F): 1.376 states/eV per atom
- Mass density: 8.2 Mg/m³
- Energy of formation: 766 meV per atom